1.
VASP calculation (PBE) on Y8NiBi2 after structural relaxation.

For the total DFT energy (no corrections), the calculation gives -6.276 eV/atom. The calculation puts the calculated density at 6.02 Mg/m³. For the formation energy, the calculation gives -343 meV/atom. As for the magnetization: 0.03 μB/atom.

Cell: 19.0241 4.5716 7.5697 Å, 90.00 95.91 90.00°
Space group C2/m (No. 12)
Inequivalent atoms, fractional coordinates:
Y (0.0025, 0.0000, 0.2195)
Y (0.0941, 0.5000, 0.5201)
Y (0.1367, 0.5000, 0.0432)
Y (0.2131, 0.0000, 0.3509)
Ni (0.0000, 0.5000, 0.0000)
Bi (0.1817, 0.0000, 0.7767)

***

2.
VASP calculation (PBE) on Y2Ni2Bi after structural relaxation.

For the energy above the most stable polymorph in this dataset, the calculation gives 0 meV per atom. For the total DFT energy (no corrections), the calculation gives -6.194 eV/atom. The calculation puts the calculated density at 7.94 Mg/m³. For the formation energy, the calculation gives -520 meV/atom. As for the magnetization: 0.00 μB/atom.

Cell: 7.4336 7.4336 3.8148 Å, 90.00 90.00 90.00°
Space group P4/mbm (No. 127)
Inequivalent atoms, fractional coordinates:
Y (0.1734, 0.3266, 0.0000)
Ni (0.1148, 0.6148, 0.5000)
Bi (0.0000, 0.0000, 0.5000)

***

3.
VASP calculation (PBE) on Y4NiBi after structural relaxation.

For the total DFT energy (no corrections), the calculation gives -6.358 eV/atom. The calculation puts the calculated density at 6.19 Mg/m³. For the formation energy, the calculation gives -438 meV/atom. As for the magnetization: 0.00 μB/atom.

Cell: 6.1400 6.6669 8.6920 Å, 90.00 109.98 90.00°
Space group P2_1/m (No. 11)
Inequivalent atoms, fractional coordinates:
Y (0.0135, 0.0007, 0.2040)
Y (0.4033, 0.2500, 0.6311)
Y (0.4401, 0.2500, 0.0838)
Ni (0.2470, 0.7500, 0.0637)
Bi (0.2108, 0.7500, 0.5489)

***

4.
VASP calculation (PBE) on Y6NiBi2 after structural relaxation.

For the total DFT energy (no corrections), the calculation gives -6.271 eV/atom. The calculation puts the calculated density at 6.35 Mg/m³. For the formation energy, the calculation gives -456 meV/atom. As for the magnetization: 0.00 μB/atom.

Cell: 6.4788 8.0249 11.9228 Å, 90.00 121.58 90.00°
Space group P2_1/c (No. 14)
Inequivalent atoms, fractional coordinates:
Y (0.0981, 0.1884, 0.4598)
Y (0.3253, 0.6826, 0.4584)
Y (0.3769, 0.0237, 0.2499)
Ni (0.5000, 0.0000, 0.5000)
Bi (0.1513, 0.1132, 0.7478)